Material: LiBe2Sb
Method: DFT, PBE-GGA
State: relaxed

## Properties
* uncorrected formation energy: 0.28 eV per atom
* DOS(E_F): 0.83 states/eV/f.u.
* space group: P2/m, No. 10

The structure in extended XYZ format:
```
4
Lattice="-2.551 0.827 -3.205 2.293 -0.590 -1.977 -2.062 -4.431 0.497" Properties=species:S:1:pos:R:3 pbc="T T T"
Sb -1.102 -3.353 -2.712
Li -1.218 -0.842 -1.972
Be 0.496 -2.277 -0.982
Be 1.912 -0.824 -1.734
```